A plane-wave DFT calculation with PBE was carried out for a relaxed structure of Sm6Er12Tm.

a = 13.1222 Å, b = 13.1222 Å, c = 12.5455 Å
α = 90.00°, β = 90.00°, γ = 120.00°
Space group R-3m (No. 166, hexagonal axes)
Unique sites:
Sm1 0.0398 0.5199 0.1172 [18 per cell]
Er1 0.0000 0.2573 0.0000 [18 per cell]
Er2 0.0909 0.1817 0.7642 [18 per cell]
Tm1 0.0000 0.0000 0.5000 [3 per cell]

## Properties
Energy of formation from the pure elements = 0.218 eV/atom
E above lowest polymorph = 0.0936 eV/atom

A plane-wave DFT calculation with PBE was carried out for a relaxed structure of SmEr9Tm2.

a = 4.968 Å, b = 4.968 Å, c = 14.905 Å
α = 90.00°, β = 90.00°, γ = 90.00°
Space group P4/mmm (No. 123)
Unique sites:
Sm1 0.000 0.000 0.000 [1 per cell]
Er1 0.000 0.500 0.169 [4 per cell]
Er2 0.000 0.500 0.500 [2 per cell]
Er3 0.500 0.500 0.000 [1 per cell]
Er4 0.500 0.500 0.335 [2 per cell]
Tm1 0.000 0.000 0.334 [2 per cell]

## Properties
Energy of formation from the pure elements = 0.025 eV/atom
E above lowest polymorph = 0.0000 eV/atom

A plane-wave DFT calculation with PBE was carried out for a relaxed structure of Sm3Er8Tm2.

a = 7.917 Å, b = 5.023 Å, c = 10.876 Å
α = 90.00°, β = 100.37°, γ = 90.00°
Space group P2/m (No. 10)
Unique sites:
Sm1 0.000 0.000 0.000 [1 per cell]
Sm2 0.279 0.500 0.928 [2 per cell]
Er1 0.127 0.000 0.700 [2 per cell]
Er2 0.155 0.500 0.223 [2 per cell]
Er3 0.412 0.500 0.635 [2 per cell]
Er4 0.441 0.000 0.149 [2 per cell]
Tm1 0.312 0.000 0.421 [2 per cell]

## Properties
Energy of formation from the pure elements = 0.158 eV/atom
E above lowest polymorph = 0.1337 eV/atom

A plane-wave DFT calculation with PBE was carried out for a relaxed structure of Sm15ErTm4.

a = 5.086 Å, b = 5.086 Å, c = 25.330 Å
α = 90.00°, β = 90.00°, γ = 90.00°
Space group P4/mmm (No. 123)
Unique sites:
Sm1 0.000 0.000 0.000 [1 per cell]
Sm2 0.000 0.000 0.200 [2 per cell]
Sm3 0.000 0.000 0.400 [2 per cell]
Sm4 0.000 0.500 0.100 [4 per cell]
Sm5 0.000 0.500 0.300 [4 per cell]
Sm6 0.000 0.500 0.500 [2 per cell]
Er1 0.500 0.500 0.000 [1 per cell]
Tm1 0.500 0.500 0.200 [2 per cell]
Tm2 0.500 0.500 0.400 [2 per cell]

## Properties
Energy of formation from the pure elements = 0.015 eV/atom

A plane-wave DFT calculation with PBE was carried out for a relaxed structure of SmEr2Tm9.

a = 11.0612 Å, b = 11.0612 Å, c = 3.4708 Å
α = 90.00°, β = 90.00°, γ = 120.00°
Space group P6/mmm (No. 191)
Unique sites:
Sm1 0.0000 0.0000 0.0000 [1 per cell]
Er1 0.3333 0.6667 0.0000 [2 per cell]
Tm1 0.0000 0.5000 0.0000 [3 per cell]
Tm2 0.1783 0.3566 0.5000 [6 per cell]

## Properties
Energy of formation from the pure elements = 0.046 eV/atom
E above lowest polymorph = 0.0193 eV/atom

A plane-wave DFT calculation with PBE was carried out for a relaxed structure of SmEr10Tm4.

a = 12.010 Å, b = 12.010 Å, c = 7.597 Å
α = 90.00°, β = 90.00°, γ = 90.00°
Space group I4/m (No. 87)
Unique sites:
Sm1 0.000 0.000 0.000 [2 per cell]
Er1 0.000 0.500 0.250 [4 per cell]
Er2 0.101 0.799 0.253 [16 per cell]
Tm1 0.100 0.301 0.500 [8 per cell]

## Properties
Energy of formation from the pure elements = 0.727 eV/atom

A plane-wave DFT calculation with PBE was carried out for a relaxed structure of Sm3ErTm3.

a = 6.1596 Å, b = 6.1596 Å, c = 42.6290 Å
α = 90.00°, β = 90.00°, γ = 120.00°
Space group R-3 (No. 148, hexagonal axes)
Unique sites:
Sm1 0.0003 0.3309 0.1312 [18 per cell]
Er1 0.0000 0.0000 0.3333 [6 per cell]
Tm1 0.0003 0.3332 0.2685 [18 per cell]

## Properties
Energy of formation from the pure elements = 0.167 eV/atom
E above lowest polymorph = 0.1517 eV/atom

A plane-wave DFT calculation with PBE was carried out for a relaxed structure of SmEr2Tm4.

a = 16.433 Å, b = 3.489 Å, c = 8.636 Å
α = 90.00°, β = 119.46°, γ = 90.00°
Space group C2/m (No. 12)
Unique sites:
Sm1 0.000 0.000 0.000 [2 per cell]
Er1 0.070 0.000 0.430 [4 per cell]
Tm1 0.142 0.500 0.833 [4 per cell]
Tm2 0.205 0.500 0.294 [4 per cell]

## Properties
Energy of formation from the pure elements = 0.037 eV/atom
E above lowest polymorph = 0.0000 eV/atom

A plane-wave DFT calculation with PBE was carried out for a relaxed structure of Sm3Er6Tm.

a = 6.484 Å, b = 6.496 Å, c = 9.475 Å
α = 89.85°, β = 70.10°, γ = 60.06°
Space group P-1 (No. 2)
Unique sites:
Sm1 0.000 0.000 0.000 [1 per cell]
Sm2 0.300 0.559 0.689 [2 per cell]
Er1 0.126 0.865 0.314 [2 per cell]
Er2 0.303 0.349 0.051 [2 per cell]
Er3 0.450 0.991 0.686 [2 per cell]
Tm1 0.000 0.500 0.500 [1 per cell]

## Properties
Energy of formation from the pure elements = 0.159 eV/atom
E above lowest polymorph = 0.0083 eV/atom

A plane-wave DFT calculation with PBE was carried out for a relaxed structure of Sm2Er2Tm3.

a = 16.527 Å, b = 3.481 Å, c = 8.615 Å
α = 90.00°, β = 116.18°, γ = 90.00°
Space group C2/m (No. 12)
Unique sites:
Sm1 0.080 0.000 0.201 [4 per cell]
Er1 0.139 0.500 0.907 [4 per cell]
Tm1 0.000 0.000 0.500 [2 per cell]
Tm2 0.221 0.000 0.647 [4 per cell]

## Properties
Energy of formation from the pure elements = 0.135 eV/atom
E above lowest polymorph = 0.0000 eV/atom

A plane-wave DFT calculation with PBE was carried out for a relaxed structure of Sm5Er3Tm2.

a = 9.348 Å, b = 13.533 Å, c = 10.878 Å
α = 90.00°, β = 90.00°, γ = 90.00°
Space group Ibam (No. 72)
Unique sites:
Sm1 0.000 0.000 0.250 [4 per cell]
Sm2 0.000 0.253 0.250 [8 per cell]
Sm3 0.104 0.128 0.000 [8 per cell]
Er1 0.000 0.500 0.250 [4 per cell]
Er2 0.248 0.124 0.500 [8 per cell]
Tm1 0.085 0.379 0.500 [8 per cell]

## Properties
Energy of formation from the pure elements = 0.394 eV/atom
E above lowest polymorph = 0.2034 eV/atom

A plane-wave DFT calculation with PBE was carried out for a relaxed structure of Sm2ErTm3.

a = 15.226 Å, b = 5.653 Å, c = 9.275 Å
α = 90.00°, β = 90.28°, γ = 90.00°
Space group C2/m (No. 12)
Unique sites:
Sm1 0.086 0.000 0.095 [4 per cell]
Sm2 0.191 0.500 0.538 [4 per cell]
Er1 0.005 0.500 0.727 [4 per cell]
Tm1 0.090 0.000 0.429 [4 per cell]
Tm2 0.148 0.000 0.758 [4 per cell]
Tm3 0.185 0.500 0.964 [4 per cell]

## Properties
Energy of formation from the pure elements = 0.300 eV/atom
E above lowest polymorph = 0.1771 eV/atom